# 1
This record from Alexandria via LeMat-Bulk describes an optimized crystal structure of BaTlZn2. The functional is PBE.

The formation enthalpy at 0 K is -0.122 eV/atom. The calculation puts the total magnetization at 0.0000 μB per atom. The density of states at the Fermi level is 3.160 states/eV/f.u.

a b c (Å): 8.268 4.781 6.507
angles (deg): 90.00 115.38 90.00
Space group C2/m (No. 12)
One atom of each set of equivalent atoms:
1 Ba 0.000 0.000 0.000 [2 per cell]
2 Tl 0.000 0.500 0.500 [2 per cell]
3 Zn 0.212 0.000 0.636 [4 per cell]

***

# 2
This record from Alexandria via LeMat-Bulk describes an optimized crystal structure of Ba4TlZn2. The functional is PBE.

The formation enthalpy at 0 K is -0.181 eV/atom. The calculation puts the total magnetization at 0.0000 μB per atom. The density of states at the Fermi level is 7.088 states/eV/f.u.

a b c (Å): 5.9124 5.9124 28.7522
angles (deg): 90.00 90.00 120.00
Space group R-3m (No. 166, hexagonal axes)
One atom of each set of equivalent atoms:
1 Ba 0.0000 0.0000 0.1236 [6 per cell]
2 Ba 0.0000 0.0000 0.3754 [6 per cell]
3 Tl 0.0000 0.0000 0.5000 [3 per cell]
4 Zn 0.0000 0.0000 0.2487 [6 per cell]